# 1
## Ba4Sc2N (GGA-PBE)

Data for crystalline Ba4Sc2N at its relaxed geometry.

The structure belongs to space group I4/mmm (No. 139); the cell edges are 5.577, 5.577 and 18.642 Å and the angles 90.00°, 90.00° and 90.00°. The asymmetric unit holds Ba at (0.000, 0.000, 0.143), Ba at (0.000, 0.500, 0.000), Sc at (0.000, 0.000, 0.334) and N at (0.000, 0.000, 0.000).

Its total magnetization is 6.8 μB per cell. The uncorrected energy is -3.72 eV per atom. Its density of states at the Fermi level is 23.95 states/eV/cell. For the energy relative to the elements, uncorrected, the calculation gives 372.6 meV/atom.

***

# 2
## BaSc2N (GGA-PBE)

Data for crystalline BaSc2N at its relaxed geometry.

The structure belongs to space group Fd-3m (No. 227, origin choice 2); the cell edges are 9.674, 9.674 and 9.674 Å and the angles 90.00°, 90.00° and 90.00°. The asymmetric unit holds Ba at (0.125, 0.125, 0.125), Sc at (0.000, 0.000, 0.500) and N at (0.125, 0.125, 0.625).

Its total magnetization is 0.0 μB per cell. The uncorrected energy is -6.36 eV per atom. Its density of states at the Fermi level is 17.00 states/eV/cell. For the energy relative to the elements, uncorrected, the calculation gives -630.6 meV/atom.

***

# 3
## Ba2ScN (GGA-PBE)

Data for crystalline Ba2ScN at its relaxed geometry.

The structure belongs to space group I-42d (No. 122); the cell edges are 11.443, 11.443 and 4.219 Å and the angles 90.00°, 90.00° and 90.00°. The asymmetric unit holds Ba at (0.077, 0.250, 0.125), Sc at (0.000, 0.000, 0.500) and N at (0.000, 0.000, 0.000).

Its total magnetization is 0.0 μB per cell. The uncorrected energy is -4.93 eV per atom. Its density of states at the Fermi level is 15.47 states/eV/cell. For the energy relative to the elements, uncorrected, the calculation gives -306.3 meV/atom.

***

# 4
## Ba3ScN3 (GGA-PBE)

Data for crystalline Ba3ScN3 at its relaxed geometry.

The structure belongs to space group P6_3/m (No. 176); the cell edges are 8.5106, 8.5106 and 5.7053 Å and the angles 90.00°, 90.00° and 120.00°. The asymmetric unit holds Ba at (0.0704, 0.3516, 0.2500), Sc at (0.3333, 0.6667, 0.7500) and N at (0.1186, 0.4052, 0.7500).

Its total magnetization is 0.0 μB per cell. The uncorrected energy is -5.87 eV per atom. Its density of states at the Fermi level is 4.85 states/eV/cell. For the energy relative to the elements, uncorrected, the calculation gives -578.2 meV/atom.

***

# 5
## BaSc2N (GGA-PBE)

Data for crystalline BaSc2N at its relaxed geometry.

The structure belongs to space group R-3m (No. 166, hexagonal axes); the cell edges are 3.3299, 3.3299 and 28.4332 Å and the angles 90.00°, 90.00° and 120.00°. The asymmetric unit holds Ba at (0.0000, 0.0000, 0.0000), Sc at (0.0000, 0.0000, 0.1248) and N at (0.0000, 0.0000, 0.5000).

Its total magnetization is 0.0 μB per cell. The uncorrected energy is -6.36 eV per atom. Its density of states at the Fermi level is 12.79 states/eV/cell. For the energy relative to the elements, uncorrected, the calculation gives -634.7 meV/atom.

***

# 6
## Ba3Sc3N5 (GGA-PBE)

Data for crystalline Ba3Sc3N5 at its relaxed geometry.

The structure belongs to space group P-1 (No. 2); the cell edges are 6.299, 8.369 and 9.510 Å and the angles 110.42°, 103.47° and 100.49°. The asymmetric unit holds Ba at (0.169, 0.351, 0.388), Ba at (0.188, 0.152, 0.718), Ba at (0.270, 0.934, 0.100), Sc at (0.200, 0.472, 0.089), Sc at (0.393, 0.622, 0.797), Sc at (0.405, 0.813, 0.475), N at (0.135, 0.553, 0.896), N at (0.273, 0.996, 0.398), N at (0.274, 0.225, 0.037), N at (0.284, 0.732, 0.636) and N at (0.479, 0.597, 0.306).

Its total magnetization is 0.0 μB per cell. The uncorrected energy is -7.16 eV per atom. Its density of states at the Fermi level is 0.00 states/eV/cell. For the energy relative to the elements, uncorrected, the calculation gives -1126.6 meV/atom.

***

# 7
## BaScSeN2 (GGA-PBE)

Data for crystalline BaScSeN2 at its relaxed geometry.

The structure belongs to space group P4/mmm (No. 123); the cell edges are 4.353, 4.353 and 6.203 Å and the angles 90.00°, 90.00° and 90.00°. The asymmetric unit holds Ba at (0.000, 0.000, 0.000), Sc at (0.500, 0.500, 0.500), Se at (0.000, 0.000, 0.500) and N at (0.000, 0.500, 0.000).

Its total magnetization is 0.0 μB per cell. The uncorrected energy is -4.61 eV per atom. Its density of states at the Fermi level is 2.78 states/eV/cell. For the energy relative to the elements, uncorrected, the calculation gives 1064.9 meV/atom.

***

# 8
## BaScSeN2 (GGA-PBE)

Data for crystalline BaScSeN2 at its relaxed geometry.

The structure belongs to space group P4/mmm (No. 123); the cell edges are 4.492, 4.492 and 5.272 Å and the angles 90.00°, 90.00° and 90.00°. The asymmetric unit holds Ba at (0.000, 0.000, 0.000), Sc at (0.500, 0.500, 0.500), Se at (0.500, 0.500, 0.000) and N at (0.000, 0.500, 0.500).

Its total magnetization is 3.0 μB per cell. The uncorrected energy is -6.06 eV per atom. Its density of states at the Fermi level is 1.84 states/eV/cell. For the energy relative to the elements, uncorrected, the calculation gives -385.5 meV/atom.

***

# 9
## BaScSiN2 (GGA-PBE)

Data for crystalline BaScSiN2 at its relaxed geometry.

The structure belongs to space group P4/mmm (No. 123); the cell edges are 4.392, 4.392 and 5.838 Å and the angles 90.00°, 90.00° and 90.00°. The asymmetric unit holds Ba at (0.000, 0.000, 0.000), Sc at (0.500, 0.500, 0.500), Si at (0.000, 0.000, 0.500) and N at (0.000, 0.500, 0.000).

Its total magnetization is 0.0 μB per cell. The uncorrected energy is -4.40 eV per atom. Its density of states at the Fermi level is 4.56 states/eV/cell. For the energy relative to the elements, uncorrected, the calculation gives 1662.1 meV/atom.

***

# 10
## BaScTaN2 (GGA-PBE)

Data for crystalline BaScTaN2 at its relaxed geometry.

The structure belongs to space group P4/mmm (No. 123); the cell edges are 4.436, 4.436 and 5.760 Å and the angles 90.00°, 90.00° and 90.00°. The asymmetric unit holds Ba at (0.000, 0.000, 0.000), Sc at (0.000, 0.000, 0.500), Ta at (0.500, 0.500, 0.500) and N at (0.000, 0.500, 0.000).

Its total magnetization is 0.0 μB per cell. The uncorrected energy is -4.88 eV per atom. Its density of states at the Fermi level is 5.58 states/eV/cell. For the energy relative to the elements, uncorrected, the calculation gives 2475.3 meV/atom.

***

# 11
## BaSc2TeN (GGA-PBE)

Data for crystalline BaSc2TeN at its relaxed geometry.

The structure belongs to space group P4/mmm (No. 123); the cell edges are 4.483, 4.483 and 7.573 Å and the angles 90.00°, 90.00° and 90.00°. The asymmetric unit holds Ba at (0.000, 0.000, 0.000), Sc at (0.000, 0.500, 0.500), Te at (0.500, 0.500, 0.000) and N at (0.500, 0.500, 0.500).

Its total magnetization is 0.9 μB per cell. The uncorrected energy is -5.84 eV per atom. Its density of states at the Fermi level is 1.55 states/eV/cell. For the energy relative to the elements, uncorrected, the calculation gives -625.0 meV/atom.

***

# 12
## BaScTe2N (GGA-PBE)

Data for crystalline BaScTe2N at its relaxed geometry.

The structure belongs to space group P4/mmm (No. 123); the cell edges are 5.863, 5.863 and 4.262 Å and the angles 90.00°, 90.00° and 90.00°. The asymmetric unit holds Ba at (0.000, 0.000, 0.000), Sc at (0.500, 0.500, 0.500), Te at (0.000, 0.500, 0.500) and N at (0.500, 0.500, 0.000).

Its total magnetization is 1.8 μB per cell. The uncorrected energy is -5.33 eV per atom. Its density of states at the Fermi level is 2.70 states/eV/cell. For the energy relative to the elements, uncorrected, the calculation gives -758.3 meV/atom.